DFT (PBE+U) results for a relaxed structure of HfW2F.

The structure in POSCAR format:
```
HfW2F
1.0
2.3939 3.3637 2.3465
-1.8989 2.0105 3.8604
1.8064 -0.9280 4.2926
Hf W F
1 2 1
Direct
0.5000 0.5000 0.5000 Hf
0.2500 0.2500 0.2500 W
0.7500 0.7500 0.7500 W
0.0000 0.0000 0.0000 F
```

Results
The value obtained for the density of states at the Fermi level is 2.73 states/eV per cell. The calculation puts the polymorph energy (0 for the lowest one) at 0.00 eV per formula unit. Its electronic total energy is -5.60 eV/atom.